(1)
12
Lattice="6.0885 0.0000 0.0000 0.0000 8.0579 0.0000 -0.2007 0.0000 6.2402" Properties=species:S:1:pos:R:3 comment="UPa2MnS8, optimized geometry, DFT PBE-GGA" volume_a3_per_atom=25.513 sg="P2/m (10)" m_tot_mub_per_atom=0.589 pbc="T T T"
U 0.0000 0.0000 0.0000
Pa 2.9439 2.0582 3.1201
Pa 2.9439 5.9997 3.1201
Mn 0.0000 4.0290 0.0000
S 1.2812 2.1151 1.0534
S 1.2812 5.9428 1.0534
S 1.5689 0.0000 4.1417
S 1.5822 4.0290 4.1942
S 4.3056 4.0290 2.0461
S 4.3189 0.0000 2.0986
S 4.6066 2.1151 5.1869
S 4.6066 5.9428 5.1869


(2)
10
Lattice="6.7344 0.0000 0.0000 0.0000 6.7344 0.0000 0.0000 0.0000 5.6821" Properties=species:S:1:pos:R:3 comment="Y2PaMnS6, optimized geometry, DFT PBE-GGA" volume_a3_per_atom=25.770 sg="P4mm (99)" m_tot_mub_per_atom=0.414 pbc="T T T"
Y 0.0000 3.3672 0.0000
Y 3.3672 0.0000 0.0000
Pa 0.0000 0.0000 3.7967
Mn 3.3672 3.3672 4.9579
S 0.0000 0.0000 1.1122
S 1.7705 1.7705 4.2986
S 1.7705 4.9640 4.2986
S 3.3672 3.3672 1.4692
S 4.9640 1.7705 4.2986
S 4.9640 4.9640 4.2986


| no. | Fermi-level density of states (states/eV/f.u.) | formation energy from raw total energies (eV per atom) |
| --- | --- | --- |
| 1 | 7.43 | -1.24 |
| 2 | 1.68 | -1.25 |